VASP calculation (meta-GGA SCAN) on InP3Pd at its PBEsol-relaxed geometry.

Output
DFT formation energy = 1.5460 eV per atom
Calculated volume = 115.6 Å³ per cell
Total DFT energy (no corrections) = -17.925 eV per atom

Cell lengths 4.8715, 4.8715, 4.8715 Å; angles 90.00, 90.00, 90.00 degrees
Closest atoms and distances in Å follow each position.
Element x y z (fractional)
In 0.0000 0.0000 0.0000  6 P 2.44
P 0.0000 0.0000 0.5000  2 In 2.44
P 0.0000 0.5000 0.0000  2 In 2.44
P 0.5000 0.0000 0.0000  2 In 2.44
Pd 0.5000 0.5000 0.5000  12 P 3.44